Below is an optimized crystal structure of Ca3PRu, with properties calculated at the PBE level.

Output
- Energy relative to the elements: 199 meV/atom
- Total energy: -3.940 eV/atom
- Theoretical density: 3.00 g/cm3

Lattice parameters (Å, degrees): 5.1881 5.1881 5.1881 90.00 90.00 90.00
Space group Pm-3m (No. 221)
Unique sites:
Ca 0.0000 0.0000 0.5000 (multiplicity 3)
P 0.5000 0.5000 0.5000 (multiplicity 1)
Ru 0.0000 0.0000 0.0000 (multiplicity 1)